Computed, not measured: a relaxed structure of TbHoU at the PBE level of DFT.

The structure in POSCAR format:
```
TbHoU
1.0
3.717 0.000 0.000
0.000 5.517 0.000
0.000 0.000 17.061
U Tb Ho
4 4 4
Cartesian
0.929 5.516 9.368
2.788 0.001 7.693
0.929 2.759 0.838
2.788 2.758 16.224
0.929 5.517 15.514
2.788 0.000 1.547
2.788 2.758 10.078
0.929 2.759 6.983
0.929 5.514 4.630
0.929 2.762 13.161
2.788 2.755 3.901
2.788 0.004 12.431
```

Calculated values
electronic total energy = -6.63 eV per atom
total magnetic moment = 1.32 μB per formula unit
symmetry = Pnma (62)



Computed, not measured: a relaxed structure of TmPd2Pt5 at the PBE level of DFT.

The structure in POSCAR format:
```
TmPd2Pt5
1.0
-1.364 -0.813 -3.653
-5.161 -1.061 2.164
-2.871 11.109 -1.399
Pt Pd Tm
10 4 2
Cartesian
-0.792 2.794 -0.326
-4.410 9.023 -2.531
-7.240 7.253 1.091
-4.986 0.212 -0.356
-4.676 7.845 0.001
-4.016 5.024 0.382
-3.356 2.202 0.764
-3.103 3.442 -1.778
-6.293 5.793 -1.110
0.000 0.000 0.000
-3.760 6.275 -2.163
-2.339 0.717 -1.458
-7.058 8.518 -1.430
-5.636 2.960 -0.725
-1.435 5.554 -0.700
-2.581 -0.531 1.082
```

Calculated values
electronic total energy = -6.13 eV per atom
total magnetic moment = 0.00 μB per formula unit
symmetry = Pbam (55)



Computed, not measured: a relaxed structure of Fe2CuSiIr at the PBE level of DFT.

The structure in POSCAR format:
```
Fe2CuSiIr
1.0
-4.205 0.296 -0.531
-0.258 -4.552 -0.495
-0.559 -0.424 4.190
Fe Ir Cu Si
2 1 1 1
Cartesian
-2.102 0.148 -0.266
-0.280 -0.212 2.095
-0.129 -2.276 -0.247
0.000 0.000 0.000
-2.511 -2.340 1.582
```

Calculated values
electronic total energy = -5.84 eV per atom
raw formation energy = 118.2 kJ per mole of atoms
total magnetic moment = 6.36 μB per formula unit
symmetry = P4/mmm (123)